VASP calculation (GGA-PBE) on Li2AcScIn4 after structural relaxation.

## Properties
- Magnetic moment: 0.00 μB/atom
- Energy of formation from the pure elements: -0.37 eV/atom
- Space group: R-3m, No. 166
- Total energy: -28.2 eV per cell

a b c (Å): 4.804 4.804 10.492
angles (deg): 76.77 76.77 60.00
Element x y z (fractional)
In (0.599, 0.599, 0.204)
Ac (0.000, 0.000, 0.000)
In (0.401, 0.401, 0.796)
In (0.123, 0.123, 0.632)
Li (0.230, 0.230, 0.311)
Li (0.770, 0.770, 0.689)
In (0.877, 0.877, 0.368)
Sc (0.500, 0.500, 0.500)



VASP calculation (GGA-PBE) on ZrOs2Se after structural relaxation.

## Properties
- Magnetic moment: 0.00 μB/atom
- Formation energy (no corrections): 0.262 eV/atom
- Space group: I-4m2, No. 119
- Total energy: -33.4 eV per cell

a b c (Å): 5.151 5.151 5.151
angles (deg): 135.50 135.50 64.75
Element x y z (fractional)
Os (0.250, 0.750, 0.500)
Zr (0.750, 0.250, 0.500)
Os (0.000, 0.000, 0.000)
Se (0.500, 0.500, 0.000)



VASP calculation (GGA-PBE) on Os3C5 after structural relaxation.

## Properties
- Magnetic moment: 0.00 μB/atom
- Energy of formation from the pure elements: 2.01 eV/atom
- Polymorph energy (0 for the lowest one): 745.9 meV per atom
- Space group: Cmmm, No. 65
- Total energy: -63.7 eV per cell

a b c (Å): 4.227 4.227 4.288
angles (deg): 90.00 90.00 94.68
Element x y z (fractional)
Os (0.500, 0.500, 0.000)
C (0.704, 0.704, 0.500)
C (0.296, 0.296, 0.500)
C (0.500, 0.000, 0.000)
C (0.000, 0.000, 0.000)
C (0.000, 0.500, 0.000)
Os (0.782, 0.218, 0.500)
Os (0.218, 0.782, 0.500)



VASP calculation (GGA-PBE) on SrGa2As2 after structural relaxation.

## Properties
- Magnetic moment: 0.00 μB/atom
- Energy of formation from the pure elements: -0.50 eV/atom
- Space group: I4/mmm, No. 139
- Total energy: -19.5 eV per cell

a b c (Å): 4.976 4.976 5.804
angles (deg): 64.61 64.61 90.00
Element x y z (fractional)
As (0.750, 0.250, 0.500)
Ga (0.361, 0.361, 0.277)
Sr (0.000, 0.000, 0.000)
Ga (0.639, 0.639, 0.723)
As (0.250, 0.750, 0.500)



VASP calculation (GGA-PBE) on TmAl2Fe after structural relaxation.

## Properties
- Magnetic moment: 0.52 μB/atom
- Energy of formation from the pure elements: 0.07 eV/atom
- Space group: R-3m, No. 166
- Total energy: -20.1 eV per cell

a b c (Å): 3.236 3.236 8.507
angles (deg): 79.04 79.04 60.00
Element x y z (fractional)
Al (0.266, 0.266, 0.201)
Al (0.734, 0.734, 0.799)
Fe (0.000, 0.000, 0.000)
Tm (0.500, 0.500, 0.500)



VASP calculation (GGA-PBE) on Hf2Sc4Ge after structural relaxation.

## Properties
- Magnetic moment: 0.00 μB/atom
- Energy of formation from the pure elements: 0.52 eV/atom
- Space group: I4/mmm, No. 139
- Total energy: -46.2 eV per cell

a b c (Å): 5.045 5.045 8.165
angles (deg): 72.00 72.00 90.00
Element x y z (fractional)
Sc (0.179, 0.179, 0.641)
Ge (0.000, 0.000, 0.000)
Sc (0.821, 0.821, 0.359)
Hf (0.394, 0.394, 0.212)
Sc (0.000, 0.500, 0.000)
Sc (0.500, 0.000, 0.000)
Hf (0.606, 0.606, 0.788)



VASP calculation (GGA-PBE) on LiRu2Br after structural relaxation.

## Properties
- Magnetic moment: 0.00 μB/atom
- Polymorph energy (0 for the lowest one): 391.0 meV per atom
- Formation energy (no corrections): 0.555 eV/atom
- Space group: Pmmm, No. 47
- Total energy: -19.9 eV per cell

a b c (Å): 2.956 4.288 5.062
angles (deg): 90.00 90.00 90.00
Element x y z (fractional)
Ru (0.000, 0.000, 0.000)
Br (0.500, 0.000, 0.500)
Ru (0.500, 0.500, 0.000)
Li (0.000, 0.500, 0.500)



VASP calculation (GGA-PBE) on Pm3PrHg3 after structural relaxation.

## Properties
- Magnetic moment: 0.00 μB/atom
- Energy of formation from the pure elements: -0.31 eV/atom
- Space group: P6_3/m, No. 176
- Total energy: -44.2 eV per cell

a b c (Å): 5.226 9.576 9.576
angles (deg): 120.00 90.00 90.00
Element x y z (fractional)
Hg (0.750, 0.613, 0.060)
Pr (0.750, 0.333, 0.667)
Pm (0.250, 0.241, 0.247)
Pr (0.250, 0.667, 0.333)
Pm (0.250, 0.006, 0.759)
Hg (0.750, 0.940, 0.553)
Hg (0.250, 0.553, 0.613)
Pm (0.750, 0.247, 0.006)
Hg (0.250, 0.060, 0.447)
Hg (0.750, 0.447, 0.387)
Hg (0.250, 0.387, 0.940)
Pm (0.750, 0.759, 0.753)
Pm (0.750, 0.994, 0.241)
Pm (0.250, 0.753, 0.994)